[1]
NaNd3Tm2Se6 | GGA-PBE | relaxed

Values from the calculation:
energy relative to the elements, uncorrected: -21.0 eV per formula unit
V: 303 Å³/cell
E: -5.54 eV/atom

a b c (Å): 7.1291 7.1291 7.2891
angles (deg): 99.39 99.39 120.08
Closest atoms and distances in Å follow each position.
Positions (direct):
Na 0.0000 0.0000 0.0000  6 Se 2.87-2.91
Nd 0.1612 0.8388 0.5000  6 Se 2.99-3.01
Nd 0.5000 0.5000 0.5000  6 Se 3.01
Nd 0.8388 0.1612 0.5000  6 Se 2.99-3.01
Tm 0.3342 0.6658 0.0000  6 Se 2.83-2.87
Tm 0.6658 0.3342 0.0000  6 Se 2.83-2.87
Se 0.0782 0.4170 0.2359  2 Tm 2.86-2.87, 1 Na 2.91, 3 Nd 3.01
Se 0.2603 0.2603 0.7714  2 Tm 2.83, 1 Na 2.87, 3 Nd 2.99-3.01
Se 0.4170 0.0782 0.2359  2 Tm 2.86-2.87, 1 Na 2.91, 3 Nd 3.01
Se 0.5830 0.9218 0.7641  2 Tm 2.86-2.87, 1 Na 2.91, 3 Nd 3.01
Se 0.7397 0.7397 0.2286  2 Tm 2.83, 1 Na 2.87, 3 Nd 2.99-3.01
Se 0.9218 0.5830 0.7641  2 Tm 2.86-2.87, 1 Na 2.91, 3 Nd 3.01

=====

[2]
Na3Nd2TmSe6 | GGA-PBE | relaxed

Values from the calculation:
energy relative to the elements, uncorrected: -20.2 eV per formula unit
V: 325 Å³/cell
E: -4.92 eV/atom

a b c (Å): 7.3152 7.3152 7.4298
angles (deg): 99.45 99.45 120.02
Closest atoms and distances in Å follow each position.
Positions (direct):
Na 0.0000 0.0000 0.0000  6 Se 3.04-3.15
Na 0.3323 0.6677 0.0000  6 Se 3.04-3.13
Na 0.6677 0.3323 0.0000  6 Se 3.04-3.13
Nd 0.1665 0.8335 0.5000  6 Se 2.97
Nd 0.8335 0.1665 0.5000  6 Se 2.97
Tm 0.5000 0.5000 0.5000  6 Se 2.86-2.87
Se 0.0998 0.4223 0.2668  1 Tm 2.87, 2 Nd 2.97, 3 Na 3.04-3.13
Se 0.2553 0.2553 0.7320  1 Tm 2.86, 2 Nd 2.97, 3 Na 3.06-3.15
Se 0.4223 0.0998 0.2668  1 Tm 2.87, 2 Nd 2.97, 3 Na 3.04-3.13
Se 0.5777 0.9002 0.7332  1 Tm 2.87, 2 Nd 2.97, 3 Na 3.04-3.13
Se 0.7447 0.7447 0.2680  1 Tm 2.86, 2 Nd 2.97, 3 Na 3.06-3.15
Se 0.9002 0.5777 0.7332  1 Tm 2.87, 2 Nd 2.97, 3 Na 3.04-3.13

=====

[3]
NaNd3Tm3Se8 | GGA-PBE | relaxed

Values from the calculation:
energy relative to the elements, uncorrected: -26.6 eV per formula unit
V: 393 Å³/cell
E: -5.57 eV/atom

a b c (Å): 8.2522 8.2522 8.2522
angles (deg): 59.54 59.54 59.54
Closest atoms and distances in Å follow each position.
Positions (direct):
Na 0.0000 0.0000 0.0000  6 Se 2.95
Nd 0.0000 0.0000 0.5000  6 Se 2.97-2.98
Nd 0.0000 0.5000 0.0000  6 Se 2.97-2.98
Nd 0.5000 0.0000 0.0000  6 Se 2.97-2.98
Tm 0.0000 0.5000 0.5000  6 Se 2.84
Tm 0.5000 0.0000 0.5000  6 Se 2.84
Tm 0.5000 0.5000 0.0000  6 Se 2.84
Se 0.2535 0.2535 0.7348  2 Tm 2.84, 1 Na 2.95, 2 Nd 2.98
Se 0.2535 0.7348 0.2535  2 Tm 2.84, 1 Na 2.95, 2 Nd 2.98
Se 0.2555 0.2555 0.2555  3 Tm 2.84, 3 Nd 2.97
Se 0.2652 0.7465 0.7465  2 Tm 2.84, 1 Na 2.95, 2 Nd 2.98
Se 0.7348 0.2535 0.2535  2 Tm 2.84, 1 Na 2.95, 2 Nd 2.98
Se 0.7445 0.7445 0.7445  3 Tm 2.84, 3 Nd 2.97
Se 0.7465 0.2652 0.7465  2 Tm 2.84, 1 Na 2.95, 2 Nd 2.98
Se 0.7465 0.7465 0.2652  2 Tm 2.84, 1 Na 2.95, 2 Nd 2.98

=====

[4]
NaNd4Tm3Se8 | GGA-PBE | relaxed

Values from the calculation:
energy relative to the elements, uncorrected: -27.9 eV per formula unit
V: 402 Å³/cell
E: -5.60 eV/atom

a b c (Å): 8.3519 8.3519 8.3519
angles (deg): 58.94 58.94 58.94
Closest atoms and distances in Å follow each position.
Positions (direct):
Na 0.0000 0.0000 0.0000  6 Se 2.87
Nd 0.0000 0.0000 0.5000  6 Se 3.01
Nd 0.0000 0.5000 0.0000  6 Se 3.01
Nd 0.5000 0.0000 0.0000  6 Se 3.01
Nd 0.5000 0.5000 0.5000  6 Se 2.99
Tm 0.0000 0.5000 0.5000  6 Se 2.85
Tm 0.5000 0.0000 0.5000  6 Se 2.85
Tm 0.5000 0.5000 0.0000  6 Se 2.85
Se 0.2454 0.2454 0.7412  2 Tm 2.85, 1 Na 2.87, 3 Nd 2.99-3.01
Se 0.2454 0.7412 0.2454  2 Tm 2.85, 1 Na 2.87, 3 Nd 2.99-3.01
Se 0.2566 0.2566 0.2566  3 Tm 2.85, 3 Nd 3.01
Se 0.2588 0.7546 0.7546  2 Tm 2.85, 1 Na 2.87, 3 Nd 2.99-3.01
Se 0.7412 0.2454 0.2454  2 Tm 2.85, 1 Na 2.87, 3 Nd 2.99-3.01
Se 0.7434 0.7434 0.7434  3 Tm 2.85, 3 Nd 3.01
Se 0.7546 0.2588 0.7546  2 Tm 2.85, 1 Na 2.87, 3 Nd 2.99-3.01
Se 0.7546 0.7546 0.2588  2 Tm 2.85, 1 Na 2.87, 3 Nd 2.99-3.01

=====

[5]
NaNdTm4Se8 | GGA-PBE | relaxed

Values from the calculation:
energy relative to the elements, uncorrected: -24.5 eV per formula unit
V: 424 Å³/cell
E: -5.45 eV/atom

a b c (Å): 8.4928 8.4928 8.4928
angles (deg): 59.05 59.05 59.05
Closest atoms and distances in Å follow each position.
Positions (direct):
Na 0.0000 0.0000 0.0000  4 Se 2.79
Nd 0.3675 0.3675 0.3675  6 Se 2.90-3.04
Tm 0.3669 0.3669 0.8870  6 Se 2.77-2.95
Tm 0.3669 0.8870 0.3669  6 Se 2.77-2.95
Tm 0.7456 0.7456 0.7456  4 Se 2.72-2.77
Tm 0.8870 0.3669 0.3669  6 Se 2.77-2.95
Se 0.1251 0.1251 0.5941  2 Tm 2.77, 1 Na 2.79, 1 Nd 2.90
Se 0.1251 0.5941 0.1251  2 Tm 2.77, 1 Na 2.79, 1 Nd 2.90
Se 0.1332 0.1332 0.1332  3 Tm 2.79, 1 Na 2.79
Se 0.1420 0.6208 0.6208  3 Tm 2.72-2.93, 1 Nd 3.04
Se 0.5941 0.1251 0.1251  2 Tm 2.77, 1 Na 2.79, 1 Nd 2.90
Se 0.6136 0.6136 0.6136  4 Tm 2.77-2.95
Se 0.6208 0.1420 0.6208  3 Tm 2.72-2.93, 1 Nd 3.04
Se 0.6208 0.6208 0.1420  3 Tm 2.72-2.93, 1 Nd 3.04

=====

[6]
Na3Nd2USe6 | GGA-PBE | relaxed

Values from the calculation:
energy relative to the elements, uncorrected: -18.0 eV per formula unit
V: 330 Å³/cell
E: -5.31 eV/atom

a b c (Å): 7.3542 7.3542 7.4543
angles (deg): 99.48 99.48 120.01
Closest atoms and distances in Å follow each position.
Positions (direct):
Na 0.0000 0.0000 0.0000  6 Se 3.06-3.11
Na 0.3319 0.6681 0.0000  6 Se 3.06-3.09
Na 0.6681 0.3319 0.0000  6 Se 3.06-3.09
Nd 0.1665 0.8335 0.5000  6 Se 2.98
Nd 0.8335 0.1665 0.5000  6 Se 2.98
U 0.5000 0.5000 0.5000  6 Se 2.92-2.93
Se 0.0935 0.4211 0.2633  1 U 2.93, 2 Nd 2.98, 3 Na 3.06-3.09
Se 0.2516 0.2516 0.7360  1 U 2.92, 2 Nd 2.98, 3 Na 3.07-3.11
Se 0.4211 0.0935 0.2633  1 U 2.93, 2 Nd 2.98, 3 Na 3.06-3.09
Se 0.5789 0.9065 0.7367  1 U 2.93, 2 Nd 2.98, 3 Na 3.06-3.09
Se 0.7484 0.7484 0.2640  1 U 2.92, 2 Nd 2.98, 3 Na 3.07-3.11
Se 0.9065 0.5789 0.7367  1 U 2.93, 2 Nd 2.98, 3 Na 3.06-3.09

=====

[7]
NaNdY4Se8 | GGA-PBE | relaxed

Values from the calculation:
energy relative to the elements, uncorrected: -24.8 eV per formula unit
V: 437 Å³/cell
E: -6.05 eV/atom

a b c (Å): 8.5624 8.5624 8.5624
angles (deg): 59.35 59.35 59.35
Closest atoms and distances in Å follow each position.
Positions (direct):
Na 0.0000 0.0000 0.0000  4 Se 2.81-2.82
Nd 0.3685 0.3685 0.3685  6 Se 2.90-3.04
Y 0.3681 0.3681 0.8876  6 Se 2.82-2.98
Y 0.3681 0.8876 0.3681  6 Se 2.82-2.98
Y 0.7470 0.7470 0.7470  4 Se 2.76-2.79
Y 0.8876 0.3681 0.3681  6 Se 2.82-2.98
Se 0.1281 0.1281 0.5951  1 Na 2.81, 2 Y 2.82, 1 Nd 2.90
Se 0.1281 0.5951 0.1281  1 Na 2.81, 2 Y 2.82, 1 Nd 2.90
Se 0.1336 0.1336 0.1336  1 Na 2.82, 3 Y 2.83
Se 0.1445 0.6197 0.6197  3 Y 2.76-2.97, 1 Nd 3.04
Se 0.5951 0.1281 0.1281  1 Na 2.81, 2 Y 2.82, 1 Nd 2.90
Se 0.6147 0.6147 0.6147  4 Y 2.79-2.98
Se 0.6197 0.1445 0.6197  3 Y 2.76-2.97, 1 Nd 3.04
Se 0.6197 0.6197 0.1445  3 Y 2.76-2.97, 1 Nd 3.04

=====

[8]
Na2NdY3Se6 | GGA-PBE | relaxed

Values from the calculation:
energy relative to the elements, uncorrected: -20.9 eV per formula unit
V: 305 Å³/cell
E: -5.71 eV/atom

a b c (Å): 7.1561 7.1561 7.2748
angles (deg): 99.44 99.44 119.96
Closest atoms and distances in Å follow each position.
Positions (direct):
Na 0.1664 0.8336 0.0000  6 Se 2.97-2.98
Na 0.8336 0.1664 0.0000  6 Se 2.97-2.98
Nd 0.5000 0.5000 0.0000  6 Se 2.98-2.99
Y 0.0000 0.0000 0.5000  6 Se 2.89-2.91
Y 0.3323 0.6677 0.5000  6 Se 2.89-2.91
Y 0.6677 0.3323 0.5000  6 Se 2.89-2.91
Se 0.0795 0.4137 0.7412  3 Y 2.89-2.91, 2 Na 2.97-2.98, 1 Nd 2.98
Se 0.2533 0.2533 0.2613  3 Y 2.89-2.91, 2 Na 2.98, 1 Nd 2.99
Se 0.4137 0.0795 0.7412  3 Y 2.89-2.91, 2 Na 2.97-2.98, 1 Nd 2.98
Se 0.5863 0.9205 0.2588  3 Y 2.89-2.91, 2 Na 2.97-2.98, 1 Nd 2.98
Se 0.7467 0.7467 0.7387  3 Y 2.89-2.91, 2 Na 2.98, 1 Nd 2.99
Se 0.9205 0.5863 0.2588  3 Y 2.89-2.91, 2 Na 2.97-2.98, 1 Nd 2.98

=====

[9]
Na3Nd2YSe6 | GGA-PBE | relaxed

Values from the calculation:
energy relative to the elements, uncorrected: -20.3 eV per formula unit
V: 328 Å³/cell
E: -5.10 eV/atom

a b c (Å): 7.3446 7.3446 7.4308
angles (deg): 99.49 99.49 120.00
Closest atoms and distances in Å follow each position.
Positions (direct):
Na 0.0000 0.0000 0.0000  6 Se 3.06-3.13
Na 0.3327 0.6673 0.0000  6 Se 3.06-3.11
Na 0.6673 0.3327 0.0000  6 Se 3.06-3.11
Nd 0.1666 0.8334 0.5000  6 Se 2.97
Nd 0.8334 0.1666 0.5000  6 Se 2.97
Y 0.5000 0.5000 0.5000  6 Se 2.90
Se 0.0960 0.4220 0.2657  1 Y 2.90, 2 Nd 2.97, 3 Na 3.06-3.11
Se 0.2522 0.2522 0.7335  1 Y 2.90, 2 Nd 2.97, 3 Na 3.06-3.13
Se 0.4220 0.0960 0.2657  1 Y 2.90, 2 Nd 2.97, 3 Na 3.06-3.11
Se 0.5780 0.9040 0.7343  1 Y 2.90, 2 Nd 2.97, 3 Na 3.06-3.11
Se 0.7478 0.7478 0.2665  1 Y 2.90, 2 Nd 2.97, 3 Na 3.06-3.13
Se 0.9040 0.5780 0.7343  1 Y 2.90, 2 Nd 2.97, 3 Na 3.06-3.11

=====

[10]
Na2NdYSe4 | GGA-PBE | relaxed

Values from the calculation:
energy relative to the elements, uncorrected: -13.6 eV per formula unit
V: 216 Å³/cell
E: -5.17 eV/atom

a b c (Å): 7.3029 4.2167 7.4306
angles (deg): 90.00 109.14 90.00
Closest atoms and distances in Å follow each position.
Positions (direct):
Na 0.0000 0.0000 0.0000  6 Se 3.10-3.11
Na 0.5000 0.5000 0.0000  6 Se 3.04
Nd 0.0000 0.5000 0.5000  6 Se 2.96-2.97
Y 0.5000 0.0000 0.5000  6 Se 2.90-2.91
Se 0.2520 0.0000 0.7346  1 Y 2.90, 2 Nd 2.96, 3 Na 3.04-3.11
Se 0.2628 0.5000 0.2687  2 Y 2.91, 1 Nd 2.97, 3 Na 3.04-3.10
Se 0.7372 0.5000 0.7313  2 Y 2.91, 1 Nd 2.97, 3 Na 3.04-3.10
Se 0.7480 0.0000 0.2654  1 Y 2.90, 2 Nd 2.96, 3 Na 3.04-3.11

=====

[11]
NaNd2YSe4 | GGA-PBE | relaxed

Values from the calculation:
energy relative to the elements, uncorrected: -14.0 eV per formula unit
V: 208 Å³/cell
E: -5.66 eV/atom

a b c (Å): 7.2604 4.1707 7.2618
angles (deg): 90.00 109.10 90.00
Closest atoms and distances in Å follow each position.
Positions (direct):
Na 0.0000 0.0000 0.0000  6 Se 2.92-2.95
Nd 0.0000 0.5000 0.5000  6 Se 3.01
Nd 0.5000 0.0000 0.5000  6 Se 2.98-3.00
Y 0.5000 0.5000 0.0000  6 Se 2.91-2.92
Se 0.2521 0.5000 0.2438  1 Y 2.91, 2 Na 2.95, 3 Nd 2.98-3.01
Se 0.2551 0.0000 0.7613  2 Y 2.92, 1 Na 2.92, 3 Nd 3.00-3.01
Se 0.7449 0.0000 0.2387  2 Y 2.92, 1 Na 2.92, 3 Nd 3.00-3.01
Se 0.7479 0.5000 0.7562  1 Y 2.91, 2 Na 2.95, 3 Nd 2.98-3.01

=====

[12]
Na2Nd3YSe6 | GGA-PBE | relaxed

Values from the calculation:
energy relative to the elements, uncorrected: -20.8 eV per formula unit
V: 316 Å³/cell
E: -5.42 eV/atom

a b c (Å): 7.2825 7.2825 7.2902
angles (deg): 99.56 99.56 119.95
Closest atoms and distances in Å follow each position.
Positions (direct):
Na 0.1655 0.8345 0.0000  6 Se 2.97-2.98
Na 0.8345 0.1655 0.0000  6 Se 2.97-2.98
Nd 0.0000 0.0000 0.5000  6 Se 2.98-3.02
Nd 0.3300 0.6700 0.5000  6 Se 2.98-3.01
Nd 0.6700 0.3300 0.5000  6 Se 2.98-3.01
Y 0.5000 0.5000 0.0000  6 Se 2.91-2.93
Se 0.0919 0.4189 0.7566  1 Y 2.91, 2 Na 2.97-2.98, 3 Nd 2.98-3.01
Se 0.2570 0.2570 0.2487  1 Y 2.93, 2 Na 2.98, 3 Nd 2.99-3.02
Se 0.4189 0.0919 0.7566  1 Y 2.91, 2 Na 2.97-2.98, 3 Nd 2.98-3.01
Se 0.5811 0.9081 0.2434  1 Y 2.91, 2 Na 2.97-2.98, 3 Nd 2.98-3.01
Se 0.7430 0.7430 0.7513  1 Y 2.93, 2 Na 2.98, 3 Nd 2.99-3.02
Se 0.9081 0.5811 0.2434  1 Y 2.91, 2 Na 2.97-2.98, 3 Nd 2.98-3.01

=====

Repeat the eighth record exactly.
Na2NdY3Se6 | GGA-PBE | relaxed

Values from the calculation:
energy relative to the elements, uncorrected: -20.9 eV per formula unit
V: 305 Å³/cell
E: -5.71 eV/atom

a b c (Å): 7.1561 7.1561 7.2748
angles (deg): 99.44 99.44 119.96
Closest atoms and distances in Å follow each position.
Positions (direct):
Na 0.1664 0.8336 0.0000  6 Se 2.97-2.98
Na 0.8336 0.1664 0.0000  6 Se 2.97-2.98
Nd 0.5000 0.5000 0.0000  6 Se 2.98-2.99
Y 0.0000 0.0000 0.5000  6 Se 2.89-2.91
Y 0.3323 0.6677 0.5000  6 Se 2.89-2.91
Y 0.6677 0.3323 0.5000  6 Se 2.89-2.91
Se 0.0795 0.4137 0.7412  3 Y 2.89-2.91, 2 Na 2.97-2.98, 1 Nd 2.98
Se 0.2533 0.2533 0.2613  3 Y 2.89-2.91, 2 Na 2.98, 1 Nd 2.99
Se 0.4137 0.0795 0.7412  3 Y 2.89-2.91, 2 Na 2.97-2.98, 1 Nd 2.98
Se 0.5863 0.9205 0.2588  3 Y 2.89-2.91, 2 Na 2.97-2.98, 1 Nd 2.98
Se 0.7467 0.7467 0.7387  3 Y 2.89-2.91, 2 Na 2.98, 1 Nd 2.99
Se 0.9205 0.5863 0.2588  3 Y 2.89-2.91, 2 Na 2.97-2.98, 1 Nd 2.98